Material: LaFeRe
Method: DFT, PBE-GGA
State: optimized geometry

Results
energy of formation from the pure elements	0.706	eV per atom
D(E_F)	3.44	states/eV/cell
offset from the most stable computed form	0.512	eV/atom
energy	-7.91	eV per atom

Geometry as CIF:
```
data_LaFeRe
_cell_length_a 2.9568
_cell_length_b 2.9568
_cell_length_c 7.3818
_cell_angle_alpha 90.00
_cell_angle_beta 90.00
_cell_angle_gamma 120.00
_space_group_name_H-M_alt 'P 1'
_space_group_IT_number 1
_space_group_name_Hall 'P 1'
loop_
_atom_site_label
_atom_site_fract_x
_atom_site_fract_y
_atom_site_fract_z
_atom_site_occupancy
Fe1 0.0000 0.0000 0.9570 1
Re1 0.6667 0.3333 0.7136 1
La1 0.3333 0.6667 0.3293 1
```

Material: LaFeRe2
Method: DFT, PBE-GGA
State: optimized geometry

Results
energy of formation from the pure elements	0.481	eV per atom
D(E_F)	4.22	states/eV/cell
offset from the most stable computed form	0.249	eV/atom
energy	-9.09	eV per atom

Geometry as CIF:
```
data_LaFeRe2
_cell_length_a 2.8155
_cell_length_b 2.8155
_cell_length_c 8.5952
_cell_angle_alpha 90.00
_cell_angle_beta 90.00
_cell_angle_gamma 90.00
_space_group_name_H-M_alt 'P 1'
_space_group_IT_number 1
_space_group_name_Hall 'P 1'
loop_
_atom_site_label
_atom_site_fract_x
_atom_site_fract_y
_atom_site_fract_z
_atom_site_occupancy
Re1 0.0000 0.0000 0.0583 1
Re2 0.0000 0.0000 0.4417 1
Fe1 0.5000 0.5000 0.2500 1
La1 0.5000 0.5000 0.7500 1
```

Material: La2FeRe
Method: DFT, PBE-GGA
State: optimized geometry

Results
energy of formation from the pure elements	0.616	eV per atom
D(E_F)	5.92	states/eV/cell
offset from the most stable computed form	0.330	eV/atom
energy	-7.08	eV per atom

Geometry as CIF:
```
data_La2FeRe
_cell_length_a 5.6970
_cell_length_b 5.6970
_cell_length_c 5.6970
_cell_angle_alpha 135.80
_cell_angle_beta 135.80
_cell_angle_gamma 64.29
_space_group_name_H-M_alt 'P 1'
_space_group_IT_number 1
_space_group_name_Hall 'P 1'
loop_
_atom_site_label
_atom_site_fract_x
_atom_site_fract_y
_atom_site_fract_z
_atom_site_occupancy
Fe1 0.7500 0.2500 0.5000 1
La1 0.2500 0.7500 0.5000 1
La2 0.0000 0.0000 0.0000 1
Re1 0.5000 0.5000 0.0000 1
```

Material: LaFeRe2
Method: DFT, PBE-GGA
State: optimized geometry

Results
energy of formation from the pure elements	0.444	eV per atom
D(E_F)	4.93	states/eV/cell
offset from the most stable computed form	0.212	eV/atom
energy	-9.13	eV per atom

Geometry as CIF:
```
data_LaFeRe2
_cell_length_a 4.0667
_cell_length_b 2.8750
_cell_length_c 6.5938
_cell_angle_alpha 78.38
_cell_angle_beta 90.00
_cell_angle_gamma 90.00
_space_group_name_H-M_alt 'P 1'
_space_group_IT_number 1
_space_group_name_Hall 'P 1'
loop_
_atom_site_label
_atom_site_fract_x
_atom_site_fract_y
_atom_site_fract_z
_atom_site_occupancy
La1 0.5000 0.7417 0.7464 1
Re1 0.0000 0.9842 0.0766 1
Re2 0.5000 0.2468 0.2480 1
Fe1 0.0000 0.5273 0.4290 1
```

Material: LaFeRe2
Method: DFT, PBE-GGA
State: optimized geometry

Results
energy of formation from the pure elements	0.750	eV per atom
D(E_F)	6.37	states/eV/cell
offset from the most stable computed form	0.518	eV/atom
energy	-8.82	eV per atom

Geometry as CIF:
```
data_LaFeRe2
_cell_length_a 9.7650
_cell_length_b 9.7650
_cell_length_c 9.7650
_cell_angle_alpha 16.76
_cell_angle_beta 16.76
_cell_angle_gamma 16.76
_space_group_name_H-M_alt 'P 1'
_space_group_IT_number 1
_space_group_name_Hall 'P 1'
loop_
_atom_site_label
_atom_site_fract_x
_atom_site_fract_y
_atom_site_fract_z
_atom_site_occupancy
Fe1 0.4174 0.4174 0.4174 1
La1 0.9131 0.9131 0.9131 1
Re1 0.1521 0.1521 0.1521 1
Re2 0.0174 0.0174 0.0174 1
```

Material: La2FeReSi
Method: DFT, PBE-GGA
State: optimized geometry

Results
D(E_F)	9.03	states/eV/cell
formation energy from raw total energies	0.48	eV per atom
energy	-6.76	eV per atom

Geometry as CIF:
```
data_La2FeReSi
_cell_length_a 5.5015
_cell_length_b 4.6716
_cell_length_c 5.5015
_cell_angle_alpha 90.00
_cell_angle_beta 90.00
_cell_angle_gamma 90.00
_space_group_name_H-M_alt 'P 1'
_space_group_IT_number 1
_space_group_name_Hall 'P 1'
loop_
_atom_site_label
_atom_site_fract_x
_atom_site_fract_y
_atom_site_fract_z
_atom_site_occupancy
Si1 0.0000 0.5000 0.0000 1
La1 0.0000 0.0000 0.5000 1
La2 0.5000 0.0000 0.0000 1
Fe1 0.5000 0.5000 0.5000 1
Re1 0.0000 0.0000 0.0000 1
```

So what do the calculations give for total moment? Going down the list: 0.704 0.307 0.711 0.569 0.087 0.584 μB per atom.